# 1
Li3Np2RhS6 | PBE | relaxed

a = 6.417 Å, b = 6.417 Å, c = 6.602 Å
α = 99.20°, β = 99.20°, γ = 119.96°
Sites, in units of the cell vectors:
Li1 0.000 0.000 0.000
Li2 0.340 0.660 0.000
Li3 0.660 0.340 0.000
Np1 0.168 0.832 0.500
Np2 0.832 0.168 0.500
Rh1 0.500 0.500 0.500
S1 0.104 0.417 0.250
S2 0.267 0.267 0.744
S3 0.417 0.104 0.250
S4 0.583 0.896 0.750
S5 0.733 0.733 0.256
S6 0.896 0.583 0.750

Its raw formation energy is -1.16 eV/atom. The volume is 18.60 Å³/atom. Its space-group type is No. 12. As for the density of states at the Fermi level: 1.032 states/eV/atom.

# 2
LiNpSbRh | PBE | relaxed

a = 4.740 Å, b = 4.740 Å, c = 4.740 Å
α = 60.00°, β = 60.00°, γ = 60.00°
Sites, in units of the cell vectors:
Li1 0.000 0.000 0.000
Np1 0.250 0.250 0.250
Sb1 0.750 0.750 0.750
Rh1 0.500 0.500 0.500

Its raw formation energy is -0.40 eV/atom. The volume is 18.82 Å³/atom. Its space-group type is No. 216. As for the density of states at the Fermi level: 0.439 states/eV/atom.

# 3
Li3NpRh2Se6 | PBE | relaxed

a = 6.432 Å, b = 6.432 Å, c = 6.896 Å
α = 98.93°, β = 98.93°, γ = 119.83°
Sites, in units of the cell vectors:
Li1 0.000 0.000 0.000
Li2 0.341 0.659 0.000
Li3 0.659 0.341 0.000
Np1 0.500 0.500 0.500
Rh1 0.167 0.833 0.500
Rh2 0.833 0.167 0.500
Se1 0.055 0.422 0.265
Se2 0.212 0.212 0.736
Se3 0.422 0.055 0.265
Se4 0.578 0.945 0.735
Se5 0.788 0.788 0.264
Se6 0.945 0.578 0.735

Its raw formation energy is -0.88 eV/atom. The volume is 19.61 Å³/atom. Its space-group type is No. 12. As for the density of states at the Fermi level: 0.537 states/eV/atom.

Question: What is the density of states at the Fermi level in the third record?
Answer: 0.537 states/eV/atom

Question: Look up the density of states at the Fermi level of the first one.
Answer: 1.032 states/eV/atom

Repeat the first record exactly.
Li3Np2RhS6 | PBE | relaxed

a = 6.417 Å, b = 6.417 Å, c = 6.602 Å
α = 99.20°, β = 99.20°, γ = 119.96°
Sites, in units of the cell vectors:
Li1 0.000 0.000 0.000
Li2 0.340 0.660 0.000
Li3 0.660 0.340 0.000
Np1 0.168 0.832 0.500
Np2 0.832 0.168 0.500
Rh1 0.500 0.500 0.500
S1 0.104 0.417 0.250
S2 0.267 0.267 0.744
S3 0.417 0.104 0.250
S4 0.583 0.896 0.750
S5 0.733 0.733 0.256
S6 0.896 0.583 0.750

Its raw formation energy is -1.16 eV/atom. The volume is 18.60 Å³/atom. Its space-group type is No. 12. As for the density of states at the Fermi level: 1.032 states/eV/atom.

Question: The highest density of states at the Fermi level belongs to which entry?
Answer: Li3Np2RhS6